(1)
VASP calculation (PBE-GGA) on a geometry-optimized In8As structure.

The value obtained for the density is 6.850 g cm⁻³. The calculation puts the formation enthalpy at 0 K at 4.35 kJ per mole of atoms. For the uncorrected energy, the calculation gives -52.3 eV/cell.

It has space group I4/mmm (No. 139), with a = 9.758 Å, b = 9.758 Å, c = 5.059 Å, α = 90.00°, β = 90.00° and γ = 90.00°. The inequivalent atoms are In at (0.000, 0.324, 0.000), In at (0.161, 0.161, 0.500) and As at (0.000, 0.000, 0.000).


(2)
VASP calculation (PBE-GGA) on a geometry-optimized InAs3 structure.

The value obtained for the density is 6.325 g cm⁻³. The calculation puts the formation enthalpy at 0 K at 26.02 kJ per mole of atoms. For the uncorrected energy, the calculation gives -15.6 eV/cell.

It has space group Pmmm (No. 47), with a = 3.564 Å, b = 3.811 Å, c = 6.564 Å, α = 90.00°, β = 90.00° and γ = 90.00°. The inequivalent atoms are In at (0.000, 0.000, 0.000), As at (0.000, 0.000, 0.500) and As at (0.500, 0.500, 0.303).


(3)
VASP calculation (PBE-GGA) on a geometry-optimized InAs3 structure.

The value obtained for the density is 5.574 g cm⁻³. The calculation puts the formation enthalpy at 0 K at 26.85 kJ per mole of atoms. For the uncorrected energy, the calculation gives -31.1 eV/cell.

It has space group P6_3/mmc (No. 194), with a = 6.4959 Å, b = 6.4959 Å, c = 5.5368 Å, α = 90.00°, β = 90.00° and γ = 120.00°. The inequivalent atoms are In at (0.3333, 0.6667, 0.2500) and As at (0.1304, 0.2607, 0.7500).


(4)
VASP calculation (PBE-GGA) on a geometry-optimized In3As structure.

The value obtained for the excess energy over the best structure of this formula in the dataset is 39 kJ/mol of formula units. The value obtained for the density is 6.857 g cm⁻³. The calculation puts the formation enthalpy at 0 K at 10.83 kJ per mole of atoms. For the uncorrected energy, the calculation gives -37.2 eV/cell.

It has space group R-3m (No. 166, hexagonal axes), with a = 3.2735 Å, b = 3.2735 Å, c = 32.8306 Å, α = 90.00°, β = 90.00° and γ = 120.00°. The inequivalent atoms are In at (0.0000, 0.0000, 0.0000), In at (0.0000, 0.0000, 0.2436) and As at (0.0000, 0.0000, 0.5000).